Computed, not measured: HfMg2Cu after structural relaxation at the PBEsol level of DFT.

Total DFT energy (no corrections) = -0.1558 hartree per atom
DFT formation energy = 328.8 meV/atom

a = 4.655 Å, b = 4.655 Å, c = 4.655 Å
α = 60.00°, β = 60.00°, γ = 60.00°
Element x y z (fractional)
Mg 0.250 0.250 0.250
Mg 0.750 0.750 0.750
Hf 0.500 0.500 0.500
Cu 0.000 0.000 0.000